(1)
{
  "formula": "Tl2SiSnAs",
  "functional": "GGA-PBEsol",
  "state": "relaxed",
  "spacegroup": "No. 123",
  "formation_energy_uncorrected_mev_per_atom": 973,
  "dos_at_fermi_per_ev_cell": 4.27,
  "cell": [[-2.637, -3.283, 2.960], [-2.614, -1.984, -4.529], [4.029, -3.823, -0.650]],
  "species": ["As", "Tl", "Tl", "Si", "Sn"],
  "fractional_positions": [[0.500, 0.000, 0.000], [0.000, 0.000, 0.500], [0.000, 0.500, 0.000], [0.500, 0.500, 0.500], [0.000, 0.000, 0.000]]
}

(2)
{
  "formula": "BaZnNi",
  "functional": "GGA-PBEsol",
  "state": "relaxed",
  "spacegroup": "No. 107",
  "formation_enthalpy_0k_ev_per_atom": 0.087,
  "dos_at_fermi_per_ev_cell": 2.45,
  "cell": [[-2.724, 0.006, 2.071], [-0.632, -3.261, -0.821], [4.832, -0.029, 3.527]],
  "species": ["Ba", "Ni", "Zn"],
  "fractional_positions": [[0.999, 0.999, 0.997], [0.724, 0.724, 0.449], [0.277, 0.277, 0.554]]
}

(3)
{
  "formula": "LaY3Ru",
  "functional": "GGA-PBEsol",
  "state": "relaxed",
  "spacegroup": "No. 8",
  "formation_enthalpy_0k_ev_per_atom": -0.155,
  "dos_at_fermi_per_ev_cell": 9.43,
  "cell": [[-1.001, -1.587, -3.429], [4.922, -3.227, -2.172], [-3.321, -10.926, 3.798]],
  "species": ["Y", "Y", "Y", "Y", "Y", "Y", "Ru", "Ru", "La", "La"],
  "fractional_positions": [[0.556, 0.038, 0.849], [0.238, 0.284, 0.241], [0.897, 0.828, 0.379], [0.019, 0.860, 0.102], [0.205, 0.977, 0.613], [0.573, 0.384, 0.471], [0.213, 0.703, 0.871], [0.571, 0.614, 0.244], [0.884, 0.530, 0.701], [0.783, 0.445, 0.988]]
}

(4)
{
  "formula": "CdFe2Pt",
  "functional": "GGA-PBEsol",
  "state": "relaxed",
  "spacegroup": "No. 44",
  "formation_enthalpy_0k_ev_per_atom": 0.098,
  "dos_at_fermi_per_ev_cell": 2.88,
  "cell": [[-0.841, 2.176, 1.643], [-3.185, 1.027, -2.989], [-0.810, -4.271, 2.763]],
  "species": ["Cd", "Fe", "Fe", "Pt"],
  "fractional_positions": [[0.259, 0.759, 0.518], [0.024, 0.024, 0.047], [0.734, 0.234, 0.469], [0.483, 0.483, 0.966]]
}

(5)
{
  "formula": "CoCuRe2",
  "functional": "GGA-PBEsol",
  "state": "relaxed",
  "spacegroup": "No. 12",
  "formation_enthalpy_0k_ev_per_atom": 0.245,
  "relative_energy_mev_per_atom": 97,
  "dos_at_fermi_per_ev_cell": 4.02,
  "cell": [[2.640, 0.000, 0.000], [0.000, 4.576, 0.002], [-1.320, -0.807, 4.282]],
  "species": ["Co", "Cu", "Re", "Re"],
  "fractional_positions": [[0.500, 0.000, 0.000], [0.000, 0.500, 0.000], [0.243, 0.244, 0.487], [0.757, 0.756, 0.513]]
}

(6)
{
  "formula": "LiCu2",
  "functional": "GGA-PBEsol",
  "state": "relaxed",
  "spacegroup": "No. 139",
  "formation_enthalpy_0k_ev_per_atom": 0.015,
  "dos_at_fermi_per_ev_cell": 1.00,
  "cell": [[2.504, 0.000, 0.000], [0.000, 2.504, 0.000], [-1.252, -1.252, 5.685]],
  "species": ["Cu", "Cu", "Li"],
  "fractional_positions": [[0.328, 0.328, 0.657], [0.672, 0.672, 0.343], [0.000, 0.000, 0.000]]
}